Here is a relaxed structure of CaTbEr from the Alexandria database. Energies are from PBE.

Computed properties:
The calculation puts the relative energy among the computed polymorphs at 0 meV per atom. The value obtained for the density of states at the Fermi level is 1.766 states/eV per atom. For the formation energy, the calculation gives 0.20 eV per formula unit. The value obtained for the total energy is -3.665 eV per atom.

Lattice parameters (Å, degrees): 3.6315 6.2936 9.1448 96.62 101.41 90.03
Space group P-1 (No. 2)
One atom of each set of equivalent atoms:
Ca1 0.2489 0.2501 0.4989 [2 per cell]
Tb1 0.0756 0.8584 0.1523 [2 per cell]
Er1 0.4240 0.6407 0.8471 [2 per cell]

=====

Here is a relaxed structure of SnP2AuCl from the Alexandria database. Energies are from PBE.

Computed properties:
The calculation puts the relative energy among the computed polymorphs at 0 meV per atom. The value obtained for the density of states at the Fermi level is 0.921 states/eV per atom. The value obtained for the total energy is -3.386 eV per atom.

Lattice parameters (Å, degrees): 4.8443 4.8443 5.1480 90.00 90.00 90.00
Space group P4/mmm (No. 123)
One atom of each set of equivalent atoms:
Sn1 0.0000 0.0000 0.0000 [1 per cell]
P1 0.0000 0.5000 0.5000 [2 per cell]
Au1 0.5000 0.5000 0.5000 [1 per cell]
Cl1 0.5000 0.5000 0.0000 [1 per cell]

=====

Here is a relaxed structure of K2NaPtCl6 from the Alexandria database. Energies are from PBE.

Computed properties:
The value obtained for the density of states at the Fermi level is 0.308 states/eV per atom. The value obtained for the total energy is -3.343 eV per atom.

Lattice parameters (Å, degrees): 7.0506 7.0506 6.7837 90.00 90.00 120.00
Space group P-3m1 (No. 164)
One atom of each set of equivalent atoms:
K1 0.3333 0.6667 0.1584 [2 per cell]
Na1 0.0000 0.0000 0.5000 [1 per cell]
Pt1 0.0000 0.0000 0.0000 [1 per cell]
Cl1 0.1625 0.3250 0.7893 [6 per cell]

=====

Here is a relaxed structure of La2VNiPd from the Alexandria database. Energies are from PBE.

Computed properties:
The value obtained for the density of states at the Fermi level is 1.058 states/eV per atom. For the formation energy, the calculation gives 0.66 eV per formula unit. The value obtained for the total energy is -5.858 eV per atom.

Lattice parameters (Å, degrees): 5.4404 5.4404 4.4478 90.00 90.00 90.00
Space group P4/mmm (No. 123)
One atom of each set of equivalent atoms:
La1 0.0000 0.5000 0.0000 [2 per cell]
V1 0.0000 0.0000 0.5000 [1 per cell]
Ni1 0.0000 0.0000 0.0000 [1 per cell]
Pd1 0.5000 0.5000 0.5000 [1 per cell]

=====

Here is a relaxed structure of AgMo2Cl from the Alexandria database. Energies are from PBE.

Computed properties:
The calculation puts the relative energy among the computed polymorphs at 580 meV per atom. The value obtained for the density of states at the Fermi level is 0.519 states/eV per atom. The value obtained for the total energy is -5.817 eV per atom.

Lattice parameters (Å, degrees): 2.7847 2.7847 8.3615 90.00 90.00 90.00
Space group P4/mmm (No. 123)
One atom of each set of equivalent atoms:
Ag1 0.0000 0.0000 0.0000 [1 per cell]
Mo1 0.5000 0.5000 0.2615 [2 per cell]
Cl1 0.0000 0.0000 0.5000 [1 per cell]

=====

Here is a relaxed structure of KMnGa3 from the Alexandria database. Energies are from PBE.

Computed properties:
The calculation puts the relative energy among the computed polymorphs at 0 meV per atom. The value obtained for the density of states at the Fermi level is 0.300 states/eV per atom. For the formation energy, the calculation gives -0.41 eV per formula unit. The value obtained for the total energy is -3.952 eV per atom.

Lattice parameters (Å, degrees): 4.7744 4.7744 4.7744 90.00 90.00 90.00
Space group Pm-3m (No. 221)
One atom of each set of equivalent atoms:
K1 0.0000 0.0000 0.0000 [1 per cell]
Mn1 0.5000 0.5000 0.5000 [1 per cell]
Ga1 0.0000 0.5000 0.5000 [3 per cell]